The following is a DFT calculation (PBE with a Hubbard U) of crystalline ZnCoO2 at its relaxed geometry.

Structure (CIF):
```
data_ZnCoO2
_chemical_formula_sum 'Zn4 Co4 O8'
_cell_length_a 9.3487
_cell_length_b 6.2584
_cell_length_c 2.9377
_cell_angle_alpha 90.00
_cell_angle_beta 96.83
_cell_angle_gamma 90.00
_symmetry_space_group_name_H-M 'C 1 m 1'
_symmetry_Int_Tables_number 8
_symmetry_space_group_name_Hall 'C -2y'
loop_
_atom_site_label
_atom_site_type_symbol
_atom_site_fract_x
_atom_site_fract_y
_atom_site_fract_z
Zn1 Zn 0.0000 0.2343 0.0000
Co1 Co 0.2576 0.5000 0.7347
Co2 Co 0.2647 0.0000 0.2916
O1 O 0.1032 0.5000 0.1149
O2 O 0.2806 0.1948 0.7927
O3 O 0.4590 0.5000 0.4897
```

Crystal system = monoclinic
Magnetic moment = 4.00 Bohr magnetons per cell
N(E_F) = 0.000 states/eV/cell
E = -4.98 eV per atom
Mass density = 6085 kg/m³